No. 1
# HfZrSb2 (PBE-GGA, optimized geometry)
data_HfZrSb2
_chemical_formula_sum 'Hf1 Zr1 Sb2'
_cell_length_a 5.029
_cell_length_b 5.029
_cell_length_c 5.029
_cell_angle_alpha 60.00
_cell_angle_beta 60.00
_cell_angle_gamma 60.00
_symmetry_space_group_name_H-M 'P 1'
_symmetry_Int_Tables_number 1
loop_
_symmetry_equiv_pos_as_xyz
'x,y,z'
loop_
_atom_site_label
_atom_site_type_symbol
_atom_site_fract_x
_atom_site_fract_y
_atom_site_fract_z
Hf1 Hf 0.000 0.000 0.000
Zr1 Zr 0.500 0.500 0.500
Sb1 Sb 0.250 0.250 0.250
Sb2 Sb 0.750 0.750 0.750
# E above lowest polymorph, meV per atom: 84
# Formation energy without anion corrections, eV/atom: -0.41
# Symmetry: Fm-3m, No. 225
# Crystal system: cubic

=====

No. 2
# Hf5ZrSb4 (PBE-GGA, optimized geometry)
data_Hf5ZrSb4
_chemical_formula_sum 'Hf10 Zr2 Sb8'
_cell_length_a 9.091
_cell_length_b 9.500
_cell_length_c 5.682
_cell_angle_alpha 90.00
_cell_angle_beta 90.00
_cell_angle_gamma 90.00
_symmetry_space_group_name_H-M 'P 1'
_symmetry_Int_Tables_number 1
loop_
_symmetry_equiv_pos_as_xyz
'x,y,z'
loop_
_atom_site_label
_atom_site_type_symbol
_atom_site_fract_x
_atom_site_fract_y
_atom_site_fract_z
Hf1 Hf 0.038 0.026 0.242
Hf2 Hf 0.038 0.474 0.242
Hf3 Hf 0.250 0.750 0.022
Hf4 Hf 0.462 0.026 0.242
Hf5 Hf 0.462 0.474 0.242
Hf6 Hf 0.538 0.526 0.758
Hf7 Hf 0.538 0.974 0.758
Hf8 Hf 0.750 0.250 0.978
Hf9 Hf 0.962 0.526 0.758
Hf10 Hf 0.962 0.974 0.758
Zr1 Zr 0.250 0.250 0.468
Zr2 Zr 0.750 0.750 0.532
Sb1 Sb 0.072 0.250 0.907
Sb2 Sb 0.250 0.587 0.559
Sb3 Sb 0.250 0.913 0.559
Sb4 Sb 0.428 0.250 0.907
Sb5 Sb 0.572 0.750 0.093
Sb6 Sb 0.750 0.087 0.441
Sb7 Sb 0.750 0.413 0.441
Sb8 Sb 0.928 0.750 0.093
# Formation energy without anion corrections, eV/atom: -0.13
# Symmetry: Pmmn, No. 59
# Crystal system: orthorhombic

=====

No. 3
# Hf3Zr2Sb2 (PBE-GGA, optimized geometry)
data_Hf3Zr2Sb2
_chemical_formula_sum 'Hf3 Zr2 Sb2'
_cell_length_a 5.776
_cell_length_b 5.776
_cell_length_c 7.631
_cell_angle_alpha 105.20
_cell_angle_beta 105.20
_cell_angle_gamma 40.81
_symmetry_space_group_name_H-M 'P 1'
_symmetry_Int_Tables_number 1
loop_
_symmetry_equiv_pos_as_xyz
'x,y,z'
loop_
_atom_site_label
_atom_site_type_symbol
_atom_site_fract_x
_atom_site_fract_y
_atom_site_fract_z
Hf1 Hf 0.000 0.000 0.000
Hf2 Hf 0.124 0.124 0.447
Hf3 Hf 0.876 0.876 0.553
Zr1 Zr 0.394 0.394 0.245
Zr2 Zr 0.606 0.606 0.755
Sb1 Sb 0.322 0.322 0.811
Sb2 Sb 0.678 0.678 0.189
# Formation energy without anion corrections, eV/atom: -0.40
# Symmetry: C2/m, No. 12
# Crystal system: monoclinic

=====

No. 4
# Hf5Zr2Sb4 (PBE-GGA, optimized geometry)
data_Hf5Zr2Sb4
_chemical_formula_sum 'Hf5 Zr2 Sb4'
_cell_length_a 11.702
_cell_length_b 11.702
_cell_length_c 7.104
_cell_angle_alpha 92.17
_cell_angle_beta 92.17
_cell_angle_gamma 15.57
_symmetry_space_group_name_H-M 'P 1'
_symmetry_Int_Tables_number 1
loop_
_symmetry_equiv_pos_as_xyz
'x,y,z'
loop_
_atom_site_label
_atom_site_type_symbol
_atom_site_fract_x
_atom_site_fract_y
_atom_site_fract_z
Hf1 Hf 0.000 0.000 0.000
Hf2 Hf 0.357 0.357 0.892
Hf3 Hf 0.411 0.411 0.280
Hf4 Hf 0.589 0.589 0.720
Hf5 Hf 0.643 0.643 0.108
Zr1 Zr 0.267 0.267 0.186
Zr2 Zr 0.733 0.733 0.814
Sb1 Sb 0.172 0.172 0.485
Sb2 Sb 0.460 0.460 0.673
Sb3 Sb 0.540 0.540 0.327
Sb4 Sb 0.828 0.828 0.515
# Formation energy without anion corrections, eV/atom: -0.13
# Symmetry: C2/m, No. 12
# Crystal system: monoclinic

=====

No. 5
# Hf2Zr5Sb5 (PBE-GGA, optimized geometry)
data_Hf2Zr5Sb5
_chemical_formula_sum 'Hf2 Zr5 Sb5'
_cell_length_a 7.442
_cell_length_b 7.442
_cell_length_c 11.245
_cell_angle_alpha 117.73
_cell_angle_beta 117.73
_cell_angle_gamma 30.30
_symmetry_space_group_name_H-M 'P 1'
_symmetry_Int_Tables_number 1
loop_
_symmetry_equiv_pos_as_xyz
'x,y,z'
loop_
_atom_site_label
_atom_site_type_symbol
_atom_site_fract_x
_atom_site_fract_y
_atom_site_fract_z
Hf1 Hf 0.061 0.061 0.260
Hf2 Hf 0.939 0.939 0.740
Zr1 Zr 0.337 0.337 0.496
Zr2 Zr 0.373 0.373 0.236
Zr3 Zr 0.500 0.500 0.000
Zr4 Zr 0.627 0.627 0.764
Zr5 Zr 0.663 0.663 0.504
Sb1 Sb 0.000 0.000 0.500
Sb2 Sb 0.148 0.148 0.982
Sb3 Sb 0.281 0.281 0.731
Sb4 Sb 0.719 0.719 0.269
Sb5 Sb 0.852 0.852 0.018
# Formation energy without anion corrections, eV/atom: -0.52
# Symmetry: C2/m, No. 12
# Crystal system: monoclinic

=====

No. 6
# Hf4ZrSb2 (PBE-GGA, optimized geometry)
data_Hf4ZrSb2
_chemical_formula_sum 'Hf8 Zr2 Sb4'
_cell_length_a 9.480
_cell_length_b 9.480
_cell_length_c 3.624
_cell_angle_alpha 90.00
_cell_angle_beta 90.00
_cell_angle_gamma 90.00
_symmetry_space_group_name_H-M 'P 1'
_symmetry_Int_Tables_number 1
loop_
_symmetry_equiv_pos_as_xyz
'x,y,z'
loop_
_atom_site_label
_atom_site_type_symbol
_atom_site_fract_x
_atom_site_fract_y
_atom_site_fract_z
Hf1 Hf 0.086 0.331 0.000
Hf2 Hf 0.169 0.586 0.500
Hf3 Hf 0.331 0.086 0.000
Hf4 Hf 0.414 0.831 0.500
Hf5 Hf 0.586 0.169 0.500
Hf6 Hf 0.669 0.914 0.000
Hf7 Hf 0.831 0.414 0.500
Hf8 Hf 0.914 0.669 0.000
Zr1 Zr 0.000 0.000 0.500
Zr2 Zr 0.500 0.500 0.000
Sb1 Sb 0.175 0.825 0.000
Sb2 Sb 0.325 0.325 0.500
Sb3 Sb 0.675 0.675 0.500
Sb4 Sb 0.825 0.175 0.000
# Formation energy without anion corrections, eV/atom: -0.28
# Symmetry: P4_2/mnm, No. 136
# Crystal system: tetragonal